1.
Cs2H2Cl | PBE | relaxed Values from VASP.

Output
ΔE to the lowest computed polymorph ... 248 meV/atom
M_tot ... 0.26 μB per formula unit
Energy ... -2.516 eV per atom
V ... 32.72 A^3/atom

```
&SYSTEM
  ibrav = 0, nat = 5, ntyp = 3
/
ATOMIC_SPECIES
H 1.01 H.upf
Cs 132.91 Cs.upf
Cl 35.45 Cl.upf
CELL_PARAMETERS angstrom
4.204 -2.283 0.610
-0.945 4.690 0.610
-0.477 -0.352 9.139
ATOMIC_POSITIONS crystal
H 0.751 0.249 0.500
H 0.249 0.751 0.500
Cs 0.363 0.363 0.280
Cs 0.637 0.637 0.720
Cl 0.000 0.000 0.000
```



2.
PmErO | PBE | relaxed Values from VASP.

Output
ΔE to the lowest computed polymorph ... 0 meV/atom
M_tot ... 0.02 μB per formula unit
Energy ... -6.522 eV per atom
V ... 21.47 A^3/atom
Formation energy without anion corrections ... -1.76 eV per atom

```
&SYSTEM
  ibrav = 0, nat = 3, ntyp = 3
/
ATOMIC_SPECIES
Er 167.26 Er.upf
Pm 145.00 Pm.upf
O 16.00 O.upf
CELL_PARAMETERS angstrom
-0.286 2.076 -2.855
-1.980 -2.924 0.268
-4.253 3.129 2.701
ATOMIC_POSITIONS crystal
Er 0.000 0.000 0.113
Pm 0.333 0.667 0.579
O 0.667 0.333 0.309
```



3.
ZrNpTc4 | PBE | relaxed Values from VASP.

Output
M_tot ... 3.66 μB per formula unit
DFT formation energy ... 0.0080 eV/atom
Energy ... -10.484 eV per atom
V ... 17.78 A^3/atom

```
&SYSTEM
  ibrav = 0, nat = 6, ntyp = 3
/
ATOMIC_SPECIES
Tc 98.00 Tc.upf
Zr 91.22 Zr.upf
Np 237.00 Np.upf
CELL_PARAMETERS angstrom
5.324 0.000 0.000
2.662 4.610 0.000
2.662 1.537 4.347
ATOMIC_POSITIONS crystal
Tc 0.124 0.625 0.625
Tc 0.625 0.625 0.124
Tc 0.625 0.124 0.625
Tc 0.625 0.625 0.625
Zr 0.000 0.000 0.000
Np 0.250 0.250 0.250
```



4.
Pr3Nd5Mg2 | PBE | relaxed Values from VASP.

Output
M_tot ... 0.00 μB per formula unit
DFT formation energy ... 0.0925 eV/atom
Energy ... -4.044 eV per atom
V ... 33.97 A^3/atom

```
&SYSTEM
  ibrav = 0, nat = 20, ntyp = 3
/
ATOMIC_SPECIES
Nd 144.24 Nd.upf
Pr 140.91 Pr.upf
Mg 24.30 Mg.upf
CELL_PARAMETERS angstrom
-5.164 -0.509 -4.812
5.340 -3.981 -10.514
1.954 -10.627 -6.177
ATOMIC_POSITIONS crystal
Nd 0.584 0.166 0.166
Nd 0.250 0.500 0.500
Nd 0.781 0.548 0.889
Nd 0.281 0.889 0.548
Nd 0.719 0.111 0.452
Nd 0.916 0.834 0.834
Nd 0.084 0.166 0.166
Nd 0.750 0.500 0.500
Nd 0.219 0.452 0.111
Nd 0.416 0.834 0.834
Pr 0.622 0.555 0.201
Pr 0.250 0.000 0.000
Pr 0.750 0.000 0.000
Pr 0.878 0.799 0.445
Pr 0.122 0.201 0.555
Pr 0.378 0.445 0.799
Mg 0.079 0.662 0.181
Mg 0.579 0.181 0.662
Mg 0.921 0.338 0.819
Mg 0.421 0.819 0.338
```



5.
TaAs2Cl2 | PBE | relaxed Values from VASP.

Output
ΔE to the lowest computed polymorph ... 0 meV/atom
M_tot ... 0.00 μB per formula unit
Energy ... -4.728 eV per atom
V ... 24.93 A^3/atom
Formation energy without anion corrections ... 0.24 eV per atom

```
&SYSTEM
  ibrav = 0, nat = 5, ntyp = 3
/
ATOMIC_SPECIES
As 74.92 As.upf
Cl 35.45 Cl.upf
Ta 180.95 Ta.upf
CELL_PARAMETERS angstrom
-1.325 -0.018 -3.108
1.863 -2.709 -0.779
-7.769 -7.889 1.523
ATOMIC_POSITIONS crystal
As 0.250 0.750 0.500
As 0.750 0.250 0.500
Cl 0.567 0.567 0.865
Cl 0.433 0.433 0.135
Ta 0.000 0.000 0.000
```



6.
RbYBe2Br8 | PBE | relaxed Values from VASP.

Output
M_tot ... 0.00 μB per formula unit
Energy ... -3.748 eV per atom
V ... 32.64 A^3/atom
Formation energy without anion corrections ... -1.39 eV per atom

```
&SYSTEM
  ibrav = 0, nat = 12, ntyp = 4
/
ATOMIC_SPECIES
Br 79.90 Br.upf
Be 9.01 Be.upf
Y 88.91 Y.upf
Rb 85.47 Rb.upf
CELL_PARAMETERS angstrom
6.634 0.000 0.000
3.317 5.745 0.000
3.317 1.915 10.276
ATOMIC_POSITIONS crystal
Br 0.405 0.719 0.837
Br 0.814 0.814 0.557
Br 0.719 0.039 0.837
Br 0.281 0.961 0.163
Br 0.039 0.405 0.837
Br 0.186 0.186 0.443
Br 0.961 0.595 0.163
Br 0.595 0.281 0.163
Be 0.746 0.746 0.763
Be 0.254 0.254 0.237
Y 0.000 0.000 0.000
Rb 0.500 0.500 0.500
```



7.
LiRuIN2 | PBE | relaxed Values from VASP.

Output
ΔE to the lowest computed polymorph ... 1644 meV/atom
M_tot ... 0.00 μB per formula unit
Energy ... -3.836 eV per atom
V ... 14.01 A^3/atom
Formation energy without anion corrections ... 2.04 eV per atom

```
&SYSTEM
  ibrav = 0, nat = 5, ntyp = 4
/
ATOMIC_SPECIES
Li 6.94 Li.upf
N 14.01 N.upf
Ru 101.07 Ru.upf
I 126.90 I.upf
CELL_PARAMETERS angstrom
-0.806 2.423 -2.842
-2.099 -2.699 -1.705
-3.880 1.510 2.388
ATOMIC_POSITIONS crystal
Li 0.000 0.000 0.000
N 0.000 0.500 0.000
N 0.500 0.000 0.000
Ru 0.500 0.500 0.500
I 0.000 0.000 0.500
```



8.
NdZrCuIr | PBE | relaxed Values from VASP.

Output
M_tot ... 0.00 μB per formula unit
DFT formation energy ... -0.3353 eV/atom
Energy ... -6.904 eV per atom
V ... 20.19 A^3/atom

```
&SYSTEM
  ibrav = 0, nat = 4, ntyp = 4
/
ATOMIC_SPECIES
Nd 144.24 Nd.upf
Ir 192.22 Ir.upf
Cu 63.55 Cu.upf
Zr 91.22 Zr.upf
CELL_PARAMETERS angstrom
-2.598 2.278 3.405
-4.759 0.694 -0.640
-3.195 -2.481 2.678
ATOMIC_POSITIONS crystal
Nd 0.000 0.000 0.000
Ir 0.750 0.750 0.750
Cu 0.250 0.250 0.250
Zr 0.500 0.500 0.500
```



9.
SrCaRu2 | PBE | relaxed Values from VASP.

Output
ΔE to the lowest computed polymorph ... 401 meV/atom
M_tot ... 2.39 μB per formula unit
DFT formation energy ... 0.7053 eV/atom
Energy ... -4.853 eV per atom
V ... 21.81 A^3/atom

```
&SYSTEM
  ibrav = 0, nat = 4, ntyp = 3
/
ATOMIC_SPECIES
Ca 40.08 Ca.upf
Sr 87.62 Sr.upf
Ru 101.07 Ru.upf
CELL_PARAMETERS angstrom
-1.883 2.022 -1.494
-2.070 -2.306 -0.512
-4.016 1.907 7.645
ATOMIC_POSITIONS crystal
Ca 0.500 0.500 0.750
Sr 0.500 0.500 0.250
Ru 0.000 0.000 0.989
Ru 0.000 0.000 0.511
```



10.
Ag5Pd7 | PBE | relaxed Values from VASP.

Output
M_tot ... 0.00 μB per formula unit
DFT formation energy ... -0.0300 eV/atom
Energy ... -4.247 eV per atom
V ... 16.32 A^3/atom

```
&SYSTEM
  ibrav = 0, nat = 12, ntyp = 2
/
ATOMIC_SPECIES
Pd 106.42 Pd.upf
Ag 107.87 Ag.upf
CELL_PARAMETERS angstrom
2.839 0.000 0.000
0.000 8.097 0.000
0.000 0.000 8.516
ATOMIC_POSITIONS crystal
Pd 0.000 0.992 0.500
Pd 0.500 0.750 0.331
Pd 0.000 0.503 0.833
Pd 0.500 0.750 0.669
Pd 0.000 0.503 0.167
Pd 0.500 0.744 0.000
Pd 0.500 0.259 0.000
Ag 0.000 0.998 0.836
Ag 0.000 0.505 0.500
Ag 0.500 0.249 0.333
Ag 0.500 0.249 0.667
Ag 0.000 0.998 0.164
```



11.
LaPm4Pr2Cd | PBE | relaxed Values from VASP.

Output
M_tot ... 0.04 μB per formula unit
DFT formation energy ... 0.2337 eV/atom
Energy ... -4.067 eV per atom
V ... 34.00 A^3/atom

```
&SYSTEM
  ibrav = 0, nat = 16, ntyp = 4
/
ATOMIC_SPECIES
Pm 145.00 Pm.upf
Cd 112.41 Cd.upf
Pr 140.91 Pr.upf
La 138.91 La.upf
CELL_PARAMETERS angstrom
-9.181 2.312 -1.299
0.267 -2.837 -9.122
5.053 -5.096 9.458
ATOMIC_POSITIONS crystal
Pm 0.768 0.730 0.500
Pm 0.238 0.741 0.990
Pm 0.232 0.270 0.500
Pm 0.241 0.738 0.490
Pm 0.762 0.259 0.010
Pm 0.230 0.268 0.000
Pm 0.770 0.732 0.000
Pm 0.759 0.262 0.510
Cd 0.000 0.500 0.000
Cd 0.000 0.500 0.500
Pr 0.000 0.000 0.500
Pr 0.500 0.000 0.500
Pr 0.500 0.500 0.000
Pr 0.500 0.000 0.000
La 0.500 0.500 0.500
La 0.000 0.000 0.000
```



12.
TaTiBiBr2 | PBE | relaxed Values from VASP.

Output
M_tot ... 3.94 μB per formula unit
Energy ... -4.775 eV per atom
V ... 28.74 A^3/atom
Formation energy without anion corrections ... 0.62 eV per atom

```
&SYSTEM
  ibrav = 0, nat = 5, ntyp = 4
/
ATOMIC_SPECIES
Br 79.90 Br.upf
Bi 208.98 Bi.upf
Ta 180.95 Ta.upf
Ti 47.87 Ti.upf
CELL_PARAMETERS angstrom
4.823 0.000 0.000
0.000 4.823 0.000
0.000 0.000 6.176
ATOMIC_POSITIONS crystal
Br 0.000 0.500 0.000
Br 0.500 0.000 0.000
Bi 0.000 0.000 0.500
Ta 0.500 0.500 0.500
Ti 0.000 0.000 0.000
```



13.
NiSbPdI2 | PBE | relaxed Values from VASP.

Output
ΔE to the lowest computed polymorph ... 0 meV/atom
M_tot ... 0.00 μB per formula unit
Energy ... -3.110 eV per atom
V ... 27.79 A^3/atom
Formation energy without anion corrections ... 0.53 eV per atom

```
&SYSTEM
  ibrav = 0, nat = 5, ntyp = 4
/
ATOMIC_SPECIES
I 126.90 I.upf
Pd 106.42 Pd.upf
Ni 58.69 Ni.upf
Sb 121.76 Sb.upf
CELL_PARAMETERS angstrom
5.378 0.000 0.000
0.000 5.378 0.000
0.000 0.000 4.805
ATOMIC_POSITIONS crystal
I 0.000 0.500 0.000
I 0.500 0.000 0.000
Pd 0.500 0.500 0.500
Ni 0.000 0.000 0.000
Sb 0.000 0.000 0.500
```



14.
PrThTl2Se4 | PBE | relaxed Values from VASP.

Output
M_tot ... 0.00 μB per formula unit
Energy ... -5.121 eV per atom
V ... 31.28 A^3/atom
Formation energy without anion corrections ... -1.26 eV per atom

```
&SYSTEM
  ibrav = 0, nat = 8, ntyp = 4
/
ATOMIC_SPECIES
Se 78.96 Se.upf
Pr 140.91 Pr.upf
Tl 204.38 Tl.upf
Th 232.04 Th.upf
CELL_PARAMETERS angstrom
4.278 0.000 0.000
0.000 8.252 -0.474
0.000 2.592 6.938
ATOMIC_POSITIONS crystal
Se 0.500 0.286 0.729
Se 0.000 0.716 0.753
Se 0.000 0.284 0.247
Se 0.500 0.714 0.271
Pr 0.500 0.500 0.000
Tl 0.000 0.000 0.000
Tl 0.500 0.000 0.500
Th 0.000 0.500 0.500
```



15.
LaZr2Mo | PBE | relaxed Values from VASP.

Output
ΔE to the lowest computed polymorph ... 148 meV/atom
M_tot ... 0.00 μB per formula unit
DFT formation energy ... 0.2325 eV/atom
Energy ... -7.981 eV per atom
V ... 23.04 A^3/atom

```
&SYSTEM
  ibrav = 0, nat = 4, ntyp = 3
/
ATOMIC_SPECIES
Zr 91.22 Zr.upf
La 138.91 La.upf
Mo 95.94 Mo.upf
CELL_PARAMETERS angstrom
4.611 0.000 0.000
0.000 3.236 -0.005
0.000 1.369 6.174
ATOMIC_POSITIONS crystal
Zr 0.000 0.555 0.536
Zr 0.000 0.945 0.964
La 0.500 0.250 0.250
Mo 0.500 0.750 0.750
```



16.
Nb3InC | PBE | relaxed Values from VASP.

Output
M_tot ... 0.00 μB per formula unit
DFT formation energy ... -0.2760 eV/atom
Energy ... -8.710 eV per atom
V ... 16.66 A^3/atom

```
&SYSTEM
  ibrav = 0, nat = 10, ntyp = 3
/
ATOMIC_SPECIES
Nb 92.91 Nb.upf
In 114.82 In.upf
C 12.01 C.upf
CELL_PARAMETERS angstrom
-0.961 -1.396 -2.760
-3.485 -2.372 4.312
-5.915 6.477 -1.217
ATOMIC_POSITIONS crystal
Nb 0.121 0.242 0.464
Nb 0.531 0.061 0.750
Nb 0.879 0.758 0.964
Nb 0.879 0.758 0.536
Nb 0.469 0.939 0.250
Nb 0.121 0.242 0.036
In 0.245 0.489 0.750
In 0.755 0.511 0.250
C 0.500 0.000 0.500
C 0.500 0.000 0.000
```



17.
Y2NbTlRu | PBE | relaxed Values from VASP.

Output
M_tot ... 3.16 μB per formula unit
DFT formation energy ... 1.3412 eV/atom
Energy ... -5.587 eV per atom
V ... 30.63 A^3/atom

```
&SYSTEM
  ibrav = 0, nat = 5, ntyp = 4
/
ATOMIC_SPECIES
Y 88.91 Y.upf
Ru 101.07 Ru.upf
Tl 204.38 Tl.upf
Nb 92.91 Nb.upf
CELL_PARAMETERS angstrom
5.584 0.000 0.000
0.000 4.912 0.000
0.000 0.000 5.584
ATOMIC_POSITIONS crystal
Y 0.000 0.000 0.500
Y 0.500 0.000 0.000
Ru 0.000 0.500 0.000
Tl 0.000 0.000 0.000
Nb 0.500 0.500 0.500
```



18.
Bi3PPb | PBE | relaxed Values from VASP.

Output
ΔE to the lowest computed polymorph ... 0 meV/atom
M_tot ... 0.00 μB per formula unit
DFT formation energy ... 0.3915 eV/atom
Energy ... -3.761 eV per atom
V ... 32.77 A^3/atom

```
&SYSTEM
  ibrav = 0, nat = 5, ntyp = 3
/
ATOMIC_SPECIES
Bi 208.98 Bi.upf
Pb 207.20 Pb.upf
P 30.97 P.upf
CELL_PARAMETERS angstrom
-2.124 3.246 -3.860
-1.964 -4.390 -2.611
-4.645 0.372 2.869
ATOMIC_POSITIONS crystal
Bi 0.000 0.000 0.500
Bi 0.000 0.500 0.000
Bi 0.500 0.000 0.000
Pb 0.500 0.500 0.500
P 0.000 0.000 0.000
```



19.
AcSbS | PBE | relaxed Values from VASP.

Output
ΔE to the lowest computed polymorph ... 0 meV/atom
M_tot ... 0.00 μB per formula unit
Energy ... -5.697 eV per atom
V ... 28.98 A^3/atom
Formation energy without anion corrections ... -1.58 eV per atom

```
&SYSTEM
  ibrav = 0, nat = 12, ntyp = 3
/
ATOMIC_SPECIES
Sb 121.76 Sb.upf
S 32.06 S.upf
Ac 227.00 Ac.upf
CELL_PARAMETERS angstrom
-3.496 1.974 -1.571
-2.312 -1.467 3.303
4.284 15.428 9.854
ATOMIC_POSITIONS crystal
Sb 0.770 0.750 0.499
Sb 0.730 0.750 0.999
Sb 0.270 0.250 0.001
Sb 0.230 0.250 0.501
S 0.759 0.250 0.314
S 0.241 0.750 0.686
S 0.259 0.750 0.186
S 0.741 0.250 0.814
Ac 0.761 0.250 0.153
Ac 0.739 0.250 0.653
Ac 0.261 0.750 0.347
Ac 0.239 0.750 0.847
```



20.
Y3Ga2BRu3 | PBE | relaxed Values from VASP.

Output
M_tot ... 0.00 μB per formula unit
DFT formation energy ... -0.4526 eV/atom
Energy ... -7.114 eV per atom
V ... 17.66 A^3/atom

```
&SYSTEM
  ibrav = 0, nat = 9, ntyp = 4
/
ATOMIC_SPECIES
Ga 69.72 Ga.upf
Y 88.91 Y.upf
B 10.81 B.upf
Ru 101.07 Ru.upf
CELL_PARAMETERS angstrom
-1.111 -1.996 -2.672
5.724 2.044 -3.906
0.405 -5.859 4.208
ATOMIC_POSITIONS crystal
Ga 0.500 0.667 0.333
Ga 0.500 0.333 0.667
Y 0.000 0.367 0.000
Y 0.000 0.633 0.633
Y 0.000 0.000 0.367
B 0.000 0.000 0.000
Ru 0.500 0.000 0.773
Ru 0.500 0.227 0.227
Ru 0.500 0.773 0.000
```



21.
USnAu | PBE | relaxed Values from VASP.

Output
M_tot ... 2.94 μB per formula unit
DFT formation energy ... -0.2314 eV/atom
Energy ... -6.421 eV per atom
V ... 22.06 A^3/atom

```
&SYSTEM
  ibrav = 0, nat = 6, ntyp = 3
/
ATOMIC_SPECIES
Au 196.97 Au.upf
Sn 118.71 Sn.upf
U 238.03 U.upf
CELL_PARAMETERS angstrom
5.094 0.000 0.000
-2.547 4.412 0.000
0.000 0.000 5.889
ATOMIC_POSITIONS crystal
Au 0.667 0.333 0.759
Au 0.333 0.667 0.259
Sn 0.667 0.333 0.258
Sn 0.333 0.667 0.758
U 0.000 0.000 0.508
U 0.000 0.000 0.008
```



22.
CdIn2Te | PBE | relaxed Values from VASP.

Output
ΔE to the lowest computed polymorph ... 164 meV/atom
M_tot ... 0.00 μB per formula unit
Energy ... -2.340 eV per atom
V ... 27.95 A^3/atom
Formation energy without anion corrections ... 0.04 eV per atom

```
&SYSTEM
  ibrav = 0, nat = 4, ntyp = 3
/
ATOMIC_SPECIES
Te 127.60 Te.upf
Cd 112.41 Cd.upf
In 114.82 In.upf
CELL_PARAMETERS angstrom
3.182 0.224 0.000
-0.638 3.125 0.000
0.000 0.000 11.085
ATOMIC_POSITIONS crystal
Te 0.500 0.500 0.250
Cd 0.500 0.500 0.750
In 0.000 0.000 0.986
In 0.000 0.000 0.514
```



23.
SiHIr2 | PBE | relaxed Values from VASP.

Output
ΔE to the lowest computed polymorph ... 0 meV/atom
M_tot ... 0.00 μB per formula unit
Energy ... -6.697 eV per atom
V ... 11.39 A^3/atom

```
&SYSTEM
  ibrav = 0, nat = 8, ntyp = 3
/
ATOMIC_SPECIES
Ir 192.22 Ir.upf
Si 28.09 Si.upf
H 1.01 H.upf
CELL_PARAMETERS angstrom
-1.326 -2.654 -5.044
-3.120 -3.996 2.923
-4.392 -1.801 -1.292
ATOMIC_POSITIONS crystal
Ir 0.375 0.452 0.750
Ir 0.548 0.125 0.250
Ir 0.202 0.625 0.250
Ir 0.875 0.798 0.750
Si 0.000 0.000 0.000
Si 0.750 0.250 0.500
H 0.500 0.500 0.000
H 0.250 0.750 0.500
```



24.
Ca2Mg4Cu3 | PBE | relaxed Values from VASP.

Output
M_tot ... 0.00 μB per formula unit
DFT formation energy ... 0.0282 eV/atom
Energy ... -2.491 eV per atom
V ... 21.13 A^3/atom

```
&SYSTEM
  ibrav = 0, nat = 9, ntyp = 3
/
ATOMIC_SPECIES
Mg 24.30 Mg.upf
Cu 63.55 Cu.upf
Ca 40.08 Ca.upf
CELL_PARAMETERS angstrom
2.057 -3.599 -6.967
4.840 -2.402 -6.043
2.037 -6.852 2.735
ATOMIC_POSITIONS crystal
Mg 0.464 0.464 0.320
Mg 0.224 0.224 0.668
Mg 0.536 0.536 0.680
Mg 0.776 0.776 0.332
Cu 0.122 0.122 0.403
Cu 0.878 0.878 0.597
Cu 0.000 0.000 0.000
Ca 0.644 0.644 0.057
Ca 0.356 0.356 0.943
```



25.
TlBiS2Cl | PBE | relaxed Values from VASP.

Output
ΔE to the lowest computed polymorph ... 0 meV/atom
M_tot ... 0.00 μB per formula unit
Energy ... -3.512 eV per atom
V ... 30.79 A^3/atom
Formation energy without anion corrections ... -0.24 eV per atom

```
&SYSTEM
  ibrav = 0, nat = 5, ntyp = 4
/
ATOMIC_SPECIES
Tl 204.38 Tl.upf
S 32.06 S.upf
Cl 35.45 Cl.upf
Bi 208.98 Bi.upf
CELL_PARAMETERS angstrom
5.267 0.000 0.000
0.000 5.267 0.000
0.000 0.000 5.549
ATOMIC_POSITIONS crystal
Tl 0.500 0.500 0.500
S 0.000 0.500 0.000
S 0.500 0.000 0.000
Cl 0.000 0.000 0.500
Bi 0.000 0.000 0.000
```